Sb2Se2Br: relaxed, PBE.

a b c (Å): 4.2537 4.2537 31.8997
angles (deg): 90.00 90.00 120.00
Closest atoms and distances in Å follow each position.
Space group R-3m (No. 166, hexagonal axes)
Symmetry-distinct sites (fractional):
Sb 0.0000 0.0000 0.0995  3 Se 2.79
Se 0.0000 0.0000 0.2751  3 Sb 2.79
Br 0.0000 0.0000 0.5000  6 Sb 3.26

Output
The total energy comes out at -0.2626 Ry/atom. The calculated volume comes out at 499.9 Å³/cell. For the uncorrected formation energy, the calculation gives -0.195 eV per atom.